Below is a relaxed structure of RbRhSe2, with properties calculated at the PBE-GGA level.

Summary:
As for the uncorrected formation energy: -610 meV per atom. Its space-group type is P-1 (2). For the theoretical density, the calculation gives 5.33 g cm⁻³.

```
RbRhSe2
1.0
3.646 0.000 0.000
1.818 6.824 0.000
0.001 2.674 8.680
Rb Rh Se
2 2 4
Direct
0.089 0.326 0.335
0.911 0.674 0.665
0.186 0.128 0.883
0.814 0.872 0.117
0.344 0.811 0.317
0.374 0.751 0.979
0.626 0.249 0.021
0.656 0.189 0.683
```

Below is a relaxed structure of DyThCu, with properties calculated at the PBE-GGA level.

Summary:
Its space-group type is P3m1 (156). For the theoretical density, the calculation gives 10.08 g cm⁻³. As for the formation energy: 0.169 eV per atom. The value obtained for the distance to the lowest polymorph of the same formula is 0.232 eV per atom.

```
DyThCu
1.0
4.920 0.000 0.000
-2.460 4.261 0.000
0.000 0.000 3.598
Dy Th Cu
1 1 1
Direct
0.000 0.000 0.000
0.333 0.667 0.549
0.667 0.333 0.216
```

Below is a relaxed structure of PmSmY4, with properties calculated at the PBE-GGA level.

Summary:
Its space-group type is C2/c (15). For the theoretical density, the calculation gives 5.49 g cm⁻³. As for the formation energy: 0.005 eV per atom. The value obtained for the distance to the lowest polymorph of the same formula is 0.000 eV per atom.

```
PmSmY4
1.0
5.413 -3.124 0.000
5.413 3.124 0.000
-3.601 0.000 11.640
Pm Sm Y
2 2 8
Direct
0.082 0.918 0.750
0.918 0.082 0.250
0.000 0.500 0.500
0.500 0.000 0.000
0.167 0.666 0.000
0.250 0.417 0.250
0.334 0.833 0.500
0.417 0.250 0.750
0.583 0.750 0.250
0.666 0.167 0.500
0.750 0.583 0.750
0.833 0.334 0.000
```

Below is a relaxed structure of Dy4TeSeS2, with properties calculated at the PBE-GGA level.

Summary:
As for the uncorrected formation energy: -1756 meV per atom. Its space-group type is P2/m (10). For the theoretical density, the calculation gives 8.02 g cm⁻³.

```
Dy4TeSeS2
1.0
7.028 0.000 0.000
0.000 4.018 0.000
-2.310 0.000 6.747
Dy Te Se S
4 1 1 2
Direct
0.226 0.000 0.209
0.250 0.500 0.784
0.750 0.500 0.216
0.774 0.000 0.791
0.500 0.500 0.500
0.000 0.000 0.500
0.000 0.500 0.000
0.500 0.000 0.000
```

Below is a relaxed structure of Pm5ThHg6, with properties calculated at the PBE-GGA level.

Summary:
Its space-group type is Cmmm (65). For the theoretical density, the calculation gives 10.77 g cm⁻³. As for the formation energy: -0.423 eV per atom.

```
Pm5ThHg6
1.0
2.690 -8.082 0.000
2.690 8.082 0.000
0.000 0.000 7.661
Pm Th Hg
5 1 6
Direct
0.000 0.000 0.000
0.334 0.666 0.000
0.335 0.665 0.500
0.665 0.335 0.500
0.666 0.334 0.000
0.000 0.000 0.500
0.168 0.832 0.249
0.168 0.832 0.751
0.500 0.500 0.246
0.500 0.500 0.754
0.832 0.168 0.249
0.832 0.168 0.751
```

Below is a relaxed structure of AcNd4Ho2Er, with properties calculated at the PBE-GGA level.

Summary:
Its space-group type is Pmmm (47). For the theoretical density, the calculation gives 7.80 g cm⁻³. As for the formation energy: 0.030 eV per atom.

```
AcNd4Ho2Er
1.0
5.156 0.000 0.000
0.000 5.202 0.000
0.000 0.000 10.327
Ac Nd Ho Er
1 4 2 1
Direct
0.000 0.000 0.000
0.000 0.500 0.258
0.000 0.500 0.742
0.500 0.000 0.259
0.500 0.000 0.741
0.000 0.000 0.500
0.500 0.500 0.000
0.500 0.500 0.500
```

Below is a relaxed structure of LaNd3In4, with properties calculated at the PBE-GGA level.

Summary:
Its space-group type is R-3m (166). For the theoretical density, the calculation gives 7.24 g cm⁻³. As for the formation energy: -0.498 eV per atom. The value obtained for the distance to the lowest polymorph of the same formula is 0.000 eV per atom.

```
LaNd3In4
1.0
2.753 1.589 9.007
-2.753 1.589 9.007
0.000 -3.179 9.007
La Nd In
1 3 4
Direct
0.000 0.000 0.000
0.250 0.250 0.250
0.500 0.500 0.500
0.750 0.750 0.750
0.126 0.126 0.126
0.376 0.376 0.376
0.624 0.624 0.624
0.874 0.874 0.874
```

Below is a relaxed structure of LiInSnCl4, with properties calculated at the PBE-GGA level.

Summary:
As for the uncorrected formation energy: -1156 meV per atom. Its space-group type is P2_1/m (11). For the theoretical density, the calculation gives 3.00 g cm⁻³.

```
LiInSnCl4
1.0
7.186 0.000 0.000
0.000 7.154 0.000
-2.884 0.000 8.229
Li In Sn Cl
2 2 2 8
Direct
0.244 0.250 0.187
0.756 0.750 0.813
0.223 0.750 0.469
0.777 0.250 0.531
0.289 0.750 0.989
0.711 0.250 0.011
0.022 0.250 0.914
0.059 0.250 0.361
0.468 0.502 0.217
0.468 0.998 0.217
0.532 0.002 0.783
0.532 0.498 0.783
0.941 0.750 0.639
0.978 0.750 0.086
```

Below is a relaxed structure of Sr4AcSn4, with properties calculated at the PBE-GGA level.

Summary:
Its space-group type is P4_2/n (86). For the theoretical density, the calculation gives 4.71 g cm⁻³. As for the formation energy: -0.474 eV per atom.

```
Sr4AcSn4
1.0
10.468 0.000 0.000
0.000 10.468 0.000
0.000 0.000 6.765
Sr Ac Sn
8 2 8
Direct
0.072 0.657 0.125
0.157 0.928 0.625
0.343 0.572 0.625
0.428 0.843 0.125
0.572 0.157 0.875
0.657 0.428 0.375
0.843 0.072 0.375
0.928 0.343 0.875
0.250 0.250 0.250
0.750 0.750 0.750
0.021 0.619 0.615
0.119 0.979 0.115
0.381 0.521 0.115
0.479 0.881 0.615
0.521 0.119 0.385
0.619 0.479 0.885
0.881 0.021 0.885
0.979 0.381 0.385
```

Below is a relaxed structure of Li3LaRh, with properties calculated at the PBE-GGA level.

Summary:
Its space-group type is Pm-3m (221). For the theoretical density, the calculation gives 4.20 g cm⁻³. As for the formation energy: 1.499 eV per atom. The value obtained for the distance to the lowest polymorph of the same formula is 1.385 eV per atom.

```
Li3LaRh
1.0
4.701 0.000 0.000
0.000 4.701 0.000
0.000 0.000 4.701
Li La Rh
3 1 1
Direct
0.000 0.000 0.500
0.000 0.500 0.000
0.500 0.000 0.000
0.000 0.000 0.000
0.500 0.500 0.500
```

Below is a relaxed structure of Tm2Al2Ga, with properties calculated at the PBE-GGA level.

Summary:
Its space-group type is C2/m (12). For the theoretical density, the calculation gives 7.10 g cm⁻³. As for the formation energy: -0.489 eV per atom. The value obtained for the distance to the lowest polymorph of the same formula is 0.000 eV per atom.

```
Tm2Al2Ga
1.0
5.316 -2.189 0.000
5.316 2.189 0.000
-4.568 0.000 9.281
Tm Al Ga
4 4 2
Direct
0.008 0.008 0.327
0.182 0.182 0.099
0.818 0.818 0.901
0.992 0.992 0.673
0.358 0.358 0.437
0.473 0.473 0.113
0.527 0.527 0.887
0.642 0.642 0.563
0.280 0.280 0.668
0.720 0.720 0.332
```

Below is a relaxed structure of Ba2ZnSnIr, with properties calculated at the PBE-GGA level.

Summary:
Its space-group type is P4/mmm (123). For the theoretical density, the calculation gives 5.64 g cm⁻³. As for the formation energy: -0.197 eV per atom.

```
Ba2ZnSnIr
1.0
6.137 0.000 0.000
0.000 6.137 0.000
0.000 0.000 5.092
Ba Zn Sn Ir
2 1 1 1
Direct
0.000 0.500 0.000
0.500 0.000 0.000
0.000 0.000 0.500
0.500 0.500 0.500
0.500 0.500 0.000
```

Below is a relaxed structure of TaBeW2, with properties calculated at the PBE-GGA level.

Summary:
Its space-group type is Cmm2 (35). For the theoretical density, the calculation gives 15.56 g cm⁻³. As for the formation energy: 0.083 eV per atom.

```
TaBeW2
1.0
3.362 0.000 0.000
0.000 4.341 0.000
0.000 0.000 8.156
Ta Be W
2 2 4
Direct
0.000 0.000 0.000
0.500 0.500 0.000
0.000 0.500 0.773
0.500 0.000 0.773
0.000 0.000 0.559
0.000 0.500 0.284
0.500 0.000 0.284
0.500 0.500 0.559
```

Below is a relaxed structure of Ac2NdSm6, with properties calculated at the PBE-GGA level.

Summary:
Its space-group type is C2/m (12). For the theoretical density, the calculation gives 7.67 g cm⁻³. As for the formation energy: 0.060 eV per atom. The value obtained for the distance to the lowest polymorph of the same formula is 0.000 eV per atom.

```
Ac2NdSm6
1.0
8.777 -5.055 0.000
8.777 5.055 0.000
-0.007 0.000 3.661
Ac Nd Sm
2 1 6
Direct
0.167 0.167 0.000
0.833 0.833 0.000
0.500 0.500 0.000
0.170 0.501 0.500
0.170 0.830 0.500
0.499 0.830 0.500
0.501 0.170 0.500
0.830 0.170 0.500
0.830 0.499 0.500
```